[1]
Here is crystalline CsTcPS2 at its relaxed geometry from the Alexandria database. Energies are from PBE-GGA.

```
5
Lattice="4.933 0.000 0.000 0.000 4.933 0.000 0.000 0.000 4.654" Properties=species:S:1:pos:R:3 pbc="T T T"
Cs 2.466 2.466 2.327
P 0.000 0.000 2.327
S 0.000 2.466 0.000
S 2.466 0.000 0.000
Tc 0.000 0.000 0.000
```

SG	P4/mmm, No. 123

[2]
Here is crystalline TlCd2Br at its relaxed geometry from the Alexandria database. Energies are from PBE-GGA.

```
4
Lattice="4.240 0.000 0.000 0.000 4.284 0.381 0.000 1.365 7.292" Properties=species:S:1:pos:R:3 pbc="T T T"
Tl 0.000 2.024 3.928
Br 2.120 4.041 5.448
Cd 0.000 4.412 1.428
Cd 2.120 2.282 1.087
```

SG	Pm, No. 6

[3]
Here is crystalline HgTeSe at its relaxed geometry from the Alexandria database. Energies are from PBE-GGA.

```
3
Lattice="-2.516 4.263 2.866 2.070 -4.518 2.831 2.552 1.332 0.259" Properties=species:S:1:pos:R:3 pbc="T T T"
Hg 1.700 0.887 0.173
Se 0.713 2.223 3.027
Te 2.245 -0.702 3.015
```

SG	P-6m2, No. 187

Number 1: polymorph energy (0 for the lowest one) 0.0 meV per atom, energy -5.06 eV per atom, raw formation energy -0.0832 eV per atom. Number 2: polymorph energy (0 for the lowest one) 38.6 meV per atom, energy -1.73 eV per atom, raw formation energy -0.2602 eV per atom. Number 3: polymorph energy (0 for the lowest one) 178.7 meV per atom, energy -2.07 eV per atom, raw formation energy 0.2419 eV per atom.